# 1
Here is an optimized crystal structure of CoIO2 from Alexandria. Energies are from GGA-PBEsol.

Output
Energy relative to the elements, uncorrected = -0.265 eV per atom
Crystal system = tetragonal

Lattice parameters (Å, degrees): 5.598 5.641 5.598 119.75 90.00 119.75
Atoms (fractional coordinates):
I1 0.250 0.500 0.750
I2 0.000 0.000 0.000
Co1 0.750 0.500 0.250
Co2 0.500 0.000 0.500
O1 0.671 0.250 0.875
O2 0.579 0.250 0.375
O3 0.625 0.750 0.329
O4 0.125 0.750 0.421

# 2
Here is an optimized crystal structure of CoSiI2O from Alexandria. Energies are from GGA-PBEsol.

Output
Energy relative to the elements, uncorrected = 0.060 eV per atom
Crystal system = tetragonal

Lattice parameters (Å, degrees): 3.503 5.300 5.300 90.00 90.00 90.00
Atoms (fractional coordinates):
I1 0.000 0.000 0.500
I2 0.000 0.500 0.000
Si1 0.500 0.500 0.500
Co1 0.000 0.000 0.000
O1 0.500 0.000 0.000

# 3
Here is an optimized crystal structure of CoTe2IO from Alexandria. Energies are from GGA-PBEsol.

Output
Energy relative to the elements, uncorrected = 0.610 eV per atom
Crystal system = tetragonal

Lattice parameters (Å, degrees): 4.347 4.347 6.519 90.00 90.00 90.00
Atoms (fractional coordinates):
I1 0.000 0.000 0.500
Te1 0.000 0.500 0.000
Te2 0.500 0.000 0.000
Co1 0.500 0.500 0.500
O1 0.000 0.000 0.000